# PBE with a Hubbard U Fe2RuF, relaxed
data_Fe2RuF
_cell_length_a 6.1753
_cell_length_b 6.1753
_cell_length_c 6.2652
_cell_angle_alpha 90.00
_cell_angle_beta 90.00
_cell_angle_gamma 90.00
_symmetry_space_group_name_H-M 'I -4 2 d'
_symmetry_Int_Tables_number 122
_symmetry_space_group_name_Hall 'I -4 2bw'
loop_
_atom_site_label
_atom_site_type_symbol
_atom_site_fract_x
_atom_site_fract_y
_atom_site_fract_z
Fe1 Fe 0.1933 0.7500 0.1250
Ru1 Ru 0.0000 0.0000 0.5000
F1 F 0.0000 0.0000 0.0000
# Fermi-level density of states in states/eV/f.u.: 2.6
# Energy relative to the lowest polymorph listed for this composition in eV per formula unit: 0.000
# Theoretical density in g/cm3: 6.443
# Magnetization in μB per atom: 2.1805